Density functional theory data (PBE-GGA) for crystalline RbLi3Cu4I12 at its relaxed geometry.

Unit cell a=9.541 b=9.541 c=9.541 alpha=102.01 beta=102.01 gamma=102.01
Element x y z (fractional)
Rb1 0.000 0.000 0.000
Li1 0.556 0.444 0.000
Li2 0.444 0.000 0.556
Li3 0.000 0.556 0.444
Cu1 0.923 0.077 0.500
Cu2 0.077 0.500 0.923
Cu3 0.500 0.923 0.077
Cu4 0.500 0.500 0.500
I1 0.500 0.331 0.669
I2 0.904 0.500 0.096
I3 0.096 0.904 0.500
I4 0.500 0.096 0.904
I5 0.353 0.001 0.247
I6 0.247 0.353 0.001
I7 0.001 0.247 0.353
I8 0.647 0.753 0.999
I9 0.999 0.647 0.753
I10 0.753 0.999 0.647
I11 0.669 0.500 0.331
I12 0.331 0.669 0.500

Values from the calculation:
The value obtained for the magnetization is 0.00 μB/f.u. Its uncorrected formation energy is -0.488 eV per atom. The volume comes out at 40.1 Å³ per atom. The calculation puts the electronic total energy at -51.5 eV for the cell shown. As for the symmetry: R32, No. 155.